Compound: TbCuB5O10
Source: the Alexandria database
Functional: GGA-PBEsol
Structure: relaxed

Cell lengths 6.222, 8.247, 8.247 Å; angles 61.79, 67.84, 67.84 degrees
Site moments in Bohr magnetons follow the coordinates.
Atoms (fractional coordinates):
Tb1 0.250 0.250 0.250  0.00
Tb2 0.750 0.750 0.750  0.00
Cu1 0.500 0.000 0.000  0.60
Cu2 0.000 0.500 0.500  0.60
B1 0.750 0.250 0.250  0.00
B2 0.250 0.750 0.750  0.00
B3 0.785 0.288 0.908  0.00
B4 0.019 0.908 0.288  0.00
B5 0.481 0.212 0.592  0.00
B6 0.715 0.592 0.212  0.00
B7 0.215 0.712 0.092  0.00
B8 0.981 0.092 0.712  0.00
B9 0.519 0.788 0.408  0.00
B10 0.285 0.408 0.788  0.00
O1 0.336 0.719 0.908  0.01
O2 0.536 0.219 0.408  0.01
O3 0.350 0.379 0.621  0.00
O4 0.650 0.621 0.379  0.00
O5 0.836 0.408 0.219  0.01
O6 0.850 0.121 0.879  0.00
O7 0.164 0.592 0.781  0.01
O8 0.464 0.781 0.592  0.01
O9 0.964 0.092 0.281  0.01
O10 0.664 0.281 0.092  0.01
O11 0.329 0.267 0.952  0.07
O12 0.451 0.952 0.267  0.07
O13 0.951 0.767 0.452  0.07
O14 0.829 0.452 0.767  0.07
O15 0.549 0.048 0.733  0.07
O16 0.671 0.733 0.048  0.07
O17 0.171 0.548 0.233  0.07
O18 0.049 0.233 0.548  0.07
O19 0.150 0.879 0.121  0.00
O20 0.036 0.908 0.719  0.01

Values from the calculation:
The space group is Ibam, No. 72. The energy relative to the elements, uncorrected comes out at -41.025 eV/f.u. The value obtained for the total energy is -8.11 eV/atom.


Compound: Tb2CuB8O16
Source: the Alexandria database
Functional: GGA-PBEsol
Structure: relaxed

Cell lengths 6.143, 8.402, 10.227 Å; angles 90.00, 90.50, 90.00 degrees
Site moments in Bohr magnetons follow the coordinates.
Atoms (fractional coordinates):
Tb1 0.493 0.011 0.182  0.00
Tb2 0.007 0.511 0.818  0.00
Tb3 0.993 0.489 0.182  0.00
Tb4 0.507 0.989 0.818  0.00
Cu1 0.000 0.500 0.500  0.61
Cu2 0.500 0.000 0.500  0.61
B1 0.991 0.006 0.194  0.00
B2 0.877 0.806 0.371  0.00
B3 0.614 0.682 0.001  0.00
B4 0.491 0.494 0.194  0.00
B5 0.114 0.818 0.001  0.00
B6 0.623 0.306 0.629  0.00
B7 0.384 0.690 0.615  0.00
B8 0.616 0.310 0.385  0.00
B9 0.009 0.994 0.806  0.00
B10 0.509 0.506 0.806  0.00
B11 0.377 0.694 0.371  0.00
B12 0.884 0.810 0.615  0.00
B13 0.386 0.318 0.999  0.00
B14 0.116 0.190 0.385  0.00
B15 0.886 0.182 0.999  0.00
B16 0.123 0.194 0.629  0.00
O1 0.941 0.657 0.634  0.07
O2 0.661 0.403 0.738  0.01
O3 0.350 0.624 0.493  0.00
O4 0.655 0.618 0.876  0.00
O5 0.161 0.097 0.738  0.01
O6 0.141 0.920 0.106  0.00
O7 0.339 0.597 0.262  0.01
O8 0.559 0.157 0.366  0.07
O9 0.560 0.837 0.012  0.00
O10 0.935 0.653 0.357  0.07
O11 0.345 0.382 0.124  0.00
O12 0.065 0.347 0.643  0.07
O13 0.059 0.343 0.366  0.07
O14 0.359 0.420 0.894  0.00
O15 0.353 0.590 0.722  0.01
O16 0.850 0.876 0.493  0.00
O17 0.845 0.118 0.124  0.00
O18 0.147 0.090 0.278  0.01
O19 0.565 0.153 0.643  0.07
O20 0.650 0.376 0.507  0.00
O21 0.150 0.124 0.507  0.00
O22 0.435 0.847 0.357  0.07
O23 0.441 0.843 0.634  0.07
O24 0.647 0.410 0.278  0.01
O25 0.641 0.580 0.106  0.00
O26 0.440 0.163 0.988  0.00
O27 0.859 0.080 0.894  0.00
O28 0.940 0.337 0.988  0.00
O29 0.155 0.882 0.876  0.00
O30 0.060 0.663 0.012  0.00
O31 0.853 0.910 0.722  0.01
O32 0.839 0.903 0.262  0.01

Values from the calculation:
The space group is P2_1/c, No. 14. The energy relative to the elements, uncorrected comes out at -69.036 eV/f.u. The value obtained for the total energy is -8.28 eV/atom.


Compound: Tm2CuB4O10
Source: the Alexandria database
Functional: GGA-PBEsol
Structure: relaxed

Cell lengths 4.579, 7.242, 9.325 Å; angles 90.00, 90.26, 90.00 degrees
Site moments in Bohr magnetons follow the coordinates.
Atoms (fractional coordinates):
Tm1 0.997 0.397 0.835  0.00
Tm2 0.003 0.897 0.665  0.00
Tm3 0.997 0.103 0.335  0.00
Tm4 0.003 0.603 0.165  0.00
Cu1 0.000 0.000 0.000  0.62
Cu2 0.000 0.500 0.500  0.62
B1 0.461 0.269 0.080  0.00
B2 0.539 0.769 0.420  0.00
B3 0.539 0.731 0.920  0.00
B4 0.461 0.231 0.580  0.00
B5 0.472 0.598 0.663  0.00
B6 0.528 0.098 0.837  0.00
B7 0.472 0.902 0.163  0.00
B8 0.528 0.402 0.337  0.00
O1 0.660 0.164 0.698  0.01
O2 0.340 0.664 0.802  0.01
O3 0.228 0.110 0.541  0.01
O4 0.772 0.610 0.959  0.01
O5 0.772 0.890 0.459  0.01
O6 0.228 0.390 0.041  0.01
O7 0.787 0.910 0.167  0.09
O8 0.213 0.410 0.333  0.09
O9 0.213 0.090 0.833  0.09
O10 0.787 0.590 0.667  0.09
O11 0.322 0.089 0.138  0.08
O12 0.678 0.589 0.362  0.08
O13 0.678 0.911 0.862  0.08
O14 0.322 0.411 0.638  0.08
O15 0.358 0.777 0.049  0.01
O16 0.642 0.277 0.451  0.01
O17 0.642 0.223 0.951  0.01
O18 0.358 0.723 0.549  0.01
O19 0.340 0.836 0.302  0.01
O20 0.660 0.336 0.198  0.01

Values from the calculation:
The space group is P2_1/c, No. 14. The energy relative to the elements, uncorrected comes out at -45.845 eV/f.u. The value obtained for the total energy is -8.27 eV/atom.


Compound: ZnCu2B2O6
Source: the Alexandria database
Functional: GGA-PBEsol
Structure: relaxed

Cell lengths 3.266, 9.190, 14.810 Å; angles 90.00, 90.00, 95.36 degrees
Site moments in Bohr magnetons follow the coordinates.
Atoms (fractional coordinates):
Zn1 0.718 0.866 0.862  0.01
Zn2 0.282 0.134 0.138  0.01
Zn3 0.282 0.634 0.362  0.01
Zn4 0.718 0.366 0.638  0.01
Cu1 0.152 0.624 0.740  0.61
Cu2 0.848 0.376 0.260  0.61
Cu3 0.848 0.876 0.240  0.61
Cu4 0.152 0.124 0.760  0.61
Cu5 0.192 0.635 0.957  0.62
Cu6 0.808 0.365 0.043  0.62
Cu7 0.808 0.865 0.457  0.62
Cu8 0.192 0.135 0.543  0.62
B1 0.342 0.666 0.579  0.00
B2 0.658 0.334 0.421  0.00
B3 0.658 0.834 0.079  0.00
B4 0.342 0.166 0.921  0.00
B5 0.317 0.596 0.153  0.01
B6 0.683 0.404 0.847  0.01
B7 0.683 0.904 0.653  0.01
B8 0.317 0.096 0.347  0.01
O1 0.585 0.798 0.993  0.09
O2 0.415 0.202 0.007  0.09
O3 0.415 0.702 0.493  0.09
O4 0.585 0.298 0.507  0.09
O5 0.142 0.543 0.616  0.10
O6 0.858 0.457 0.384  0.10
O7 0.858 0.957 0.116  0.10
O8 0.142 0.043 0.884  0.10
O9 0.171 0.538 0.074  0.12
O10 0.829 0.462 0.926  0.12
O11 0.829 0.962 0.574  0.12
O12 0.171 0.038 0.426  0.12
O13 0.185 0.737 0.844  0.22
O14 0.815 0.263 0.156  0.22
O15 0.815 0.763 0.344  0.22
O16 0.185 0.237 0.656  0.22
O17 0.273 0.530 0.235  0.10
O18 0.727 0.470 0.765  0.10
O19 0.727 0.970 0.735  0.10
O20 0.273 0.030 0.265  0.10
O21 0.470 0.764 0.652  0.06
O22 0.530 0.236 0.348  0.06
O23 0.530 0.736 0.152  0.06
O24 0.470 0.264 0.848  0.06

Values from the calculation:
The space group is P2_1/c, No. 14. The energy relative to the elements, uncorrected comes out at -16.626 eV/f.u. The value obtained for the total energy is -6.58 eV/atom.


Compound: CuB3Os
Source: the Alexandria database
Functional: GGA-PBEsol
Structure: relaxed

Cell lengths 3.699, 3.699, 3.699 Å; angles 90.00, 90.00, 90.00 degrees
Atoms (fractional coordinates):
B1 0.000 0.500 0.000
B2 0.000 0.000 0.500
B3 0.500 0.000 0.000
Os1 0.500 0.500 0.500
Cu1 0.000 0.000 0.000

Values from the calculation:
The space group is Pm-3m, No. 221. The energy above the most stable polymorph in this dataset comes out at 668.7 meV per atom. The formation energy comes out at 174 kJ per mole of atoms. The value obtained for the total energy is -5.72 eV/atom.


Compound: CuB3Os
Source: the Alexandria database
Functional: GGA-PBEsol
Structure: relaxed

Cell lengths 4.033, 4.033, 4.033 Å; angles 90.00, 90.00, 90.00 degrees
Atoms (fractional coordinates):
B1 0.000 0.500 0.000
B2 0.000 0.000 0.500
B3 0.500 0.000 0.000
Os1 0.000 0.000 0.000
Cu1 0.500 0.500 0.500

Values from the calculation:
The space group is Pm-3m, No. 221. The energy above the most stable polymorph in this dataset comes out at 0.0 meV per atom. The formation energy comes out at 110 kJ per mole of atoms. The value obtained for the total energy is -6.38 eV/atom.


Compound: CuB2OsS
Source: the Alexandria database
Functional: GGA-PBEsol
Structure: relaxed

Cell lengths 3.766, 3.766, 4.154 Å; angles 90.00, 90.00, 90.00 degrees
Site moments in Bohr magnetons follow the coordinates.
Atoms (fractional coordinates):
S1 0.000 0.000 0.000  0.00
B1 0.000 0.500 0.000  0.00
B2 0.500 0.000 0.000  0.00
Os1 0.500 0.500 0.500  0.52
Cu1 0.000 0.000 0.500  0.01

Values from the calculation:
The space group is P4/mmm, No. 123. The energy relative to the elements, uncorrected comes out at 8.685 eV/f.u. The value obtained for the total energy is -5.26 eV/atom.


Compound: TaCuBOs2
Source: the Alexandria database
Functional: GGA-PBEsol
Structure: relaxed

Cell lengths 4.170, 4.723, 4.723 Å; angles 90.00, 90.00, 90.00 degrees
Site moments in Bohr magnetons follow the coordinates.
Atoms (fractional coordinates):
B1 0.500 0.000 0.000  -0.01
Os1 0.000 0.000 0.500  0.63
Os2 0.000 0.500 0.000  0.63
Cu1 0.500 0.500 0.500  0.09
Ta1 0.000 0.000 0.000  -0.04

Values from the calculation:
The space group is P4/mmm, No. 123. The formation energy comes out at 232 kJ per mole of atoms. The value obtained for the total energy is -7.27 eV/atom.